Entry from Alexandria: a geometry-optimized Ac2NiSnO6 structure (PBE with a Hubbard U).

abc: 5.799 5.829 8.206
angles: 90.00 89.86 90.00
Fractional positions:
Ac (0.008, 0.965, 0.251)
Ac (0.508, 0.535, 0.751)
Ac (0.492, 0.465, 0.249)
Ac (0.992, 0.035, 0.749)
O (0.284, 0.714, 0.042)
O (0.422, 0.981, 0.748)
O (0.216, 0.214, 0.458)
O (0.287, 0.716, 0.457)
O (0.784, 0.786, 0.542)
O (0.787, 0.784, 0.957)
O (0.922, 0.519, 0.248)
O (0.716, 0.286, 0.958)
O (0.213, 0.216, 0.043)
O (0.078, 0.481, 0.752)
O (0.578, 0.019, 0.252)
O (0.713, 0.284, 0.543)
Ni (0.500, 0.000, 0.000)
Ni (0.000, 0.500, 0.500)
Sn (0.000, 0.500, 0.000)
Sn (0.500, 0.000, 0.500)

Computed properties:
E (eV/atom): -6.901